Run a
# Ac2BiRh3 (GGA-PBE, relaxed)
data_Ac2BiRh3
_cell_length_a 4.5324
_cell_length_b 4.5324
_cell_length_c 17.7877
_cell_angle_alpha 90.00
_cell_angle_beta 90.00
_cell_angle_gamma 120.00
_symmetry_space_group_name_H-M 'P 63/m m c'
_symmetry_Int_Tables_number 194
_symmetry_space_group_name_Hall '-P 6c 2c'
loop_
_atom_site_label
_atom_site_type_symbol
_atom_site_fract_x
_atom_site_fract_y
_atom_site_fract_z
Ac1 Ac 0.0000 0.0000 0.1109
Bi1 Bi 0.3333 0.6667 0.2500
Rh1 Rh 0.3333 0.6667 0.0007
Rh2 Rh 0.3333 0.6667 0.7500
# Total magnetization, μB/f.u.: 0.00
# Density, g cm⁻³: 10.2

***

Run b
# Ac2BiRh3 (GGA-PBE, relaxed)
data_Ac2BiRh3
_cell_length_a 8.766
_cell_length_b 9.241
_cell_length_c 15.510
_cell_angle_alpha 90.00
_cell_angle_beta 90.00
_cell_angle_gamma 90.00
_symmetry_space_group_name_H-M 'F m m m'
_symmetry_Int_Tables_number 69
_symmetry_space_group_name_Hall '-F 2 2'
loop_
_atom_site_label
_atom_site_type_symbol
_atom_site_fract_x
_atom_site_fract_y
_atom_site_fract_z
Ac1 Ac 0.240 0.000 0.000
Ac2 Ac 0.250 0.250 0.250
Bi1 Bi 0.000 0.000 0.334
Rh1 Rh 0.000 0.000 0.160
Rh2 Rh 0.000 0.244 0.083
# Total magnetization, μB/f.u.: 0.03
# Density, g cm⁻³: 10.3

***

Most favorable first, least favorable last: run a, run b

***

Run a
# AcBi3Rh (GGA-PBE, relaxed)
data_AcBi3Rh
_cell_length_a 4.711
_cell_length_b 5.013
_cell_length_c 12.745
_cell_angle_alpha 90.00
_cell_angle_beta 90.00
_cell_angle_gamma 90.00
_symmetry_space_group_name_H-M 'A m m 2'
_symmetry_Int_Tables_number 38
loop_
_symmetry_equiv_pos_as_xyz
'x,y,z'
'-x,-y,z'
'-x,y,z'
'x,-y,z'
'x,y+1/2,z+1/2'
'-x,-y+1/2,z+1/2'
'-x,y+1/2,z+1/2'
'x,-y+1/2,z+1/2'
loop_
_atom_site_label
_atom_site_type_symbol
_atom_site_fract_x
_atom_site_fract_y
_atom_site_fract_z
Ac1 Ac 0.000 0.000 0.000
Bi1 Bi 0.000 0.000 0.720
Bi2 Bi 0.500 0.000 0.209
Bi3 Bi 0.500 0.000 0.464
Rh1 Rh 0.000 0.000 0.325
# Total magnetization, μB/f.u.: 0.00
# Density, g cm⁻³: 10.6

***

Run b
# AcBi3Rh (GGA-PBE, relaxed)
data_AcBi3Rh
_cell_length_a 7.108
_cell_length_b 6.409
_cell_length_c 6.612
_cell_angle_alpha 90.00
_cell_angle_beta 90.00
_cell_angle_gamma 90.00
_symmetry_space_group_name_H-M 'P m n 21'
_symmetry_Int_Tables_number 31
loop_
_symmetry_equiv_pos_as_xyz
'x,y,z'
'-x+1/2,-y,z+1/2'
'-x,y,z'
'x+1/2,-y,z+1/2'
loop_
_atom_site_label
_atom_site_type_symbol
_atom_site_fract_x
_atom_site_fract_y
_atom_site_fract_z
Ac1 Ac 0.000 0.143 0.000
Bi1 Bi 0.000 0.891 0.538
Bi2 Bi 0.240 0.337 0.443
Rh1 Rh 0.000 0.604 0.237
# Total magnetization, μB/f.u.: 0.00
# Density, g cm⁻³: 10.5

***

Run c
# AcBi3Rh (GGA-PBE, relaxed)
data_AcBi3Rh
_cell_length_a 5.405
_cell_length_b 5.405
_cell_length_c 5.405
_cell_angle_alpha 90.00
_cell_angle_beta 90.00
_cell_angle_gamma 90.00
_symmetry_space_group_name_H-M 'P m -3 m'
_symmetry_Int_Tables_number 221
_symmetry_space_group_name_Hall '-P 4 2 3'
loop_
_atom_site_label
_atom_site_type_symbol
_atom_site_fract_x
_atom_site_fract_y
_atom_site_fract_z
Ac1 Ac 0.000 0.000 0.000
Bi1 Bi 0.000 0.500 0.500
Rh1 Rh 0.500 0.500 0.500
# Total magnetization, μB/f.u.: 0.00
# Density, g cm⁻³: 10.1

***

Most favorable first, least favorable last: run a, run b, run c

***

Run a
# AcBiRh4 (GGA-PBE, relaxed)
data_AcBiRh4
_cell_length_a 4.348
_cell_length_b 18.025
_cell_length_c 6.105
_cell_angle_alpha 90.00
_cell_angle_beta 90.00
_cell_angle_gamma 90.00
_symmetry_space_group_name_H-M 'C m c m'
_symmetry_Int_Tables_number 63
_symmetry_space_group_name_Hall '-C 2c 2'
loop_
_atom_site_label
_atom_site_type_symbol
_atom_site_fract_x
_atom_site_fract_y
_atom_site_fract_z
Ac1 Ac 0.000 0.087 0.250
Bi1 Bi 0.000 0.226 0.750
Rh1 Rh 0.000 0.076 0.750
Rh2 Rh 0.000 0.342 0.033
Rh3 Rh 0.000 0.500 0.000
# Total magnetization, μB/f.u.: 0.00
# Density, g cm⁻³: 11.8

***

Run b
# AcBiRh4 (GGA-PBE, relaxed)
data_AcBiRh4
_cell_length_a 7.760
_cell_length_b 7.760
_cell_length_c 7.760
_cell_angle_alpha 90.00
_cell_angle_beta 90.00
_cell_angle_gamma 90.00
_symmetry_space_group_name_H-M 'F -4 3 m'
_symmetry_Int_Tables_number 216
_symmetry_space_group_name_Hall 'F -4 2 3'
loop_
_atom_site_label
_atom_site_type_symbol
_atom_site_fract_x
_atom_site_fract_y
_atom_site_fract_z
Ac1 Ac 0.000 0.000 0.000
Bi1 Bi 0.250 0.250 0.750
Rh1 Rh 0.124 0.124 0.376
# Total magnetization, μB/f.u.: 0.00
# Density, g cm⁻³: 12.0

***

Most favorable first, least favorable last: run b, run a

***

Run a
# Ac4BiRh2 (GGA-PBE, relaxed)
data_Ac4BiRh2
_cell_length_a 4.486
_cell_length_b 14.563
_cell_length_c 14.751
_cell_angle_alpha 90.00
_cell_angle_beta 90.00
_cell_angle_gamma 90.00
_symmetry_space_group_name_H-M 'C m c m'
_symmetry_Int_Tables_number 63
_symmetry_space_group_name_Hall '-C 2c 2'
loop_
_atom_site_label
_atom_site_type_symbol
_atom_site_fract_x
_atom_site_fract_y
_atom_site_fract_z
Ac1 Ac 0.000 0.000 0.000
Ac2 Ac 0.000 0.266 0.111
Ac3 Ac 0.000 0.432 0.750
Bi1 Bi 0.000 0.107 0.750
Rh1 Rh 0.000 0.370 0.559
# Total magnetization, μB/f.u.: 0.00
# Density, g cm⁻³: 9.1

***

Run b
# Ac4BiRh2 (GGA-PBE, relaxed)
data_Ac4BiRh2
_cell_length_a 14.057
_cell_length_b 14.088
_cell_length_c 9.696
_cell_angle_alpha 90.00
_cell_angle_beta 90.00
_cell_angle_gamma 90.00
_symmetry_space_group_name_H-M 'F d d 2'
_symmetry_Int_Tables_number 43
_symmetry_space_group_name_Hall 'F 2 -2d'
loop_
_atom_site_label
_atom_site_type_symbol
_atom_site_fract_x
_atom_site_fract_y
_atom_site_fract_z
Ac1 Ac 0.062 0.383 0.000
Ac2 Ac 0.117 0.062 0.173
Bi1 Bi 0.000 0.000 0.837
Rh1 Rh 0.086 0.336 0.712
# Total magnetization, μB/f.u.: 0.00
# Density, g cm⁻³: 9.2

***

Most favorable first, least favorable last: run a, run b

***

Run a
# Ac2Bi5Rh3 (GGA-PBE, relaxed)
data_Ac2Bi5Rh3
_cell_length_a 4.783
_cell_length_b 28.028
_cell_length_c 7.824
_cell_angle_alpha 90.00
_cell_angle_beta 90.00
_cell_angle_gamma 90.00
_symmetry_space_group_name_H-M 'C m c 21'
_symmetry_Int_Tables_number 36
loop_
_symmetry_equiv_pos_as_xyz
'x,y,z'
'-x,-y,z+1/2'
'-x,y,z'
'x,-y,z+1/2'
'x+1/2,y+1/2,z'
'-x+1/2,-y+1/2,z+1/2'
'-x+1/2,y+1/2,z'
'x+1/2,-y+1/2,z+1/2'
loop_
_atom_site_label
_atom_site_type_symbol
_atom_site_fract_x
_atom_site_fract_y
_atom_site_fract_z
Ac1 Ac 0.000 0.026 0.000
Ac2 Ac 0.000 0.331 0.034
Bi1 Bi 0.000 0.095 0.375
Bi2 Bi 0.000 0.204 0.841
Bi3 Bi 0.000 0.215 0.257
Bi4 Bi 0.000 0.376 0.510
Bi5 Bi 0.000 0.452 0.168
Rh1 Rh 0.000 0.105 0.750
Rh2 Rh 0.000 0.272 0.559
Rh3 Rh 0.000 0.449 0.789
# Total magnetization, μB/f.u.: 0.00
# Density, g cm⁻³: 11.4

***

Run b
# Ac2Bi5Rh3 (GGA-PBE, relaxed)
data_Ac2Bi5Rh3
_cell_length_a 11.278
_cell_length_b 13.367
_cell_length_c 7.120
_cell_angle_alpha 90.00
_cell_angle_beta 90.00
_cell_angle_gamma 90.00
_symmetry_space_group_name_H-M 'I b a m'
_symmetry_Int_Tables_number 72
_symmetry_space_group_name_Hall '-I 2 2c'
loop_
_atom_site_label
_atom_site_type_symbol
_atom_site_fract_x
_atom_site_fract_y
_atom_site_fract_z
Ac1 Ac 0.226 0.150 0.000
Bi1 Bi 0.000 0.000 0.250
Bi2 Bi 0.000 0.274 0.250
Bi3 Bi 0.165 0.420 0.000
Rh1 Rh 0.000 0.500 0.250
Rh2 Rh 0.109 0.145 0.500
# Total magnetization, μB/f.u.: 0.00
# Density, g cm⁻³: 11.2

***

Most favorable first, least favorable last: run a, run b

***

Run a
# AcBi2Rh2 (GGA-PBE, relaxed)
data_AcBi2Rh2
_cell_length_a 6.180
_cell_length_b 6.655
_cell_length_c 7.684
_cell_angle_alpha 80.61
_cell_angle_beta 67.94
_cell_angle_gamma 62.68
_symmetry_space_group_name_H-M 'P -1'
_symmetry_Int_Tables_number 2
loop_
_symmetry_equiv_pos_as_xyz
'x,y,z'
'-x,-y,-z'
loop_
_atom_site_label
_atom_site_type_symbol
_atom_site_fract_x
_atom_site_fract_y
_atom_site_fract_z
Ac1 Ac 0.105 0.290 0.253
Bi1 Bi 0.188 0.111 0.725
Bi2 Bi 0.441 0.662 0.226
Rh1 Rh 0.202 0.743 0.944
Rh2 Rh 0.475 0.296 0.449
# Total magnetization, μB/f.u.: 0.00
# Density, g cm⁻³: 10.9

***

Run b
# AcBi2Rh2 (GGA-PBE, relaxed)
data_AcBi2Rh2
_cell_length_a 4.795
_cell_length_b 4.795
_cell_length_c 10.805
_cell_angle_alpha 90.00
_cell_angle_beta 90.00
_cell_angle_gamma 90.00
_symmetry_space_group_name_H-M 'P 4/n m m'
_symmetry_Int_Tables_number 129
loop_
_symmetry_equiv_pos_as_xyz
'x,y,z'
'-x,-y,-z'
'-y+1/2,x,z'
'y+1/2,-x,-z'
'-x+1/2,-y+1/2,z'
'x+1/2,y+1/2,-z'
'y,-x+1/2,z'
'-y,x+1/2,-z'
'x+1/2,-y,-z'
'-x+1/2,y,z'
'-y,-x,-z'
'y,x,z'
'-x,y+1/2,-z'
'x,-y+1/2,z'
'y+1/2,x+1/2,-z'
'-y+1/2,-x+1/2,z'
loop_
_atom_site_label
_atom_site_type_symbol
_atom_site_fract_x
_atom_site_fract_y
_atom_site_fract_z
Ac1 Ac 0.250 0.250 0.239
Bi1 Bi 0.250 0.250 0.875
Bi2 Bi 0.250 0.750 0.500
Rh1 Rh 0.250 0.250 0.628
Rh2 Rh 0.250 0.750 0.000
# Total magnetization, μB/f.u.: 0.00
# Density, g cm⁻³: 11.4

***

Most favorable first, least favorable last: run b, run a

***

Run a
# Ac4Bi2Rh (GGA-PBE, relaxed)
data_Ac4Bi2Rh
_cell_length_a 5.501
_cell_length_b 5.501
_cell_length_c 18.164
_cell_angle_alpha 90.00
_cell_angle_beta 90.00
_cell_angle_gamma 90.00
_symmetry_space_group_name_H-M 'I 4/m m m'
_symmetry_Int_Tables_number 139
_symmetry_space_group_name_Hall '-I 4 2'
loop_
_atom_site_label
_atom_site_type_symbol
_atom_site_fract_x
_atom_site_fract_y
_atom_site_fract_z
Ac1 Ac 0.000 0.000 0.172
Ac2 Ac 0.000 0.500 0.000
Bi1 Bi 0.000 0.000 0.361
Rh1 Rh 0.000 0.000 0.000
# Total magnetization, μB/f.u.: 0.00
# Density, g cm⁻³: 8.6

***

Run b
# Ac4Bi2Rh (GGA-PBE, relaxed)
data_Ac4Bi2Rh
_cell_length_a 17.395
_cell_length_b 4.613
_cell_length_c 7.947
_cell_angle_alpha 90.00
_cell_angle_beta 116.92
_cell_angle_gamma 90.00
_symmetry_space_group_name_H-M 'C 1 2/m 1'
_symmetry_Int_Tables_number 12
loop_
_symmetry_equiv_pos_as_xyz
'x,y,z'
'-x,-y,-z'
'-x,y,-z'
'x,-y,z'
'x+1/2,y+1/2,z'
'-x+1/2,-y+1/2,-z'
'-x+1/2,y+1/2,-z'
'x+1/2,-y+1/2,z'
loop_
_atom_site_label
_atom_site_type_symbol
_atom_site_fract_x
_atom_site_fract_y
_atom_site_fract_z
Ac1 Ac 0.112 0.000 0.255
Ac2 Ac 0.113 0.500 0.805
Bi1 Bi 0.236 0.000 0.737
Rh1 Rh 0.000 0.500 0.000
# Total magnetization, μB/f.u.: 0.00
# Density, g cm⁻³: 8.3

***

Most favorable first, least favorable last: run a, run b

***

Run a
# AcBi3Rh2 (GGA-PBE, relaxed)
data_AcBi3Rh2
_cell_length_a 6.5545
_cell_length_b 6.5545
_cell_length_c 4.2694
_cell_angle_alpha 90.00
_cell_angle_beta 90.00
_cell_angle_gamma 120.00
_symmetry_space_group_name_H-M 'P 6/m m m'
_symmetry_Int_Tables_number 191
_symmetry_space_group_name_Hall '-P 6 2'
loop_
_atom_site_label
_atom_site_type_symbol
_atom_site_fract_x
_atom_site_fract_y
_atom_site_fract_z
Ac1 Ac 0.0000 0.0000 0.0000
Bi1 Bi 0.0000 0.5000 0.5000
Rh1 Rh 0.3333 0.6667 0.0000
# Total magnetization, μB/f.u.: 0.00
# Density, g cm⁻³: 11.1

***

Run b
# AcBi3Rh2 (GGA-PBE, relaxed)
data_AcBi3Rh2
_cell_length_a 8.2147
_cell_length_b 8.2147
_cell_length_c 5.7553
_cell_angle_alpha 90.00
_cell_angle_beta 90.00
_cell_angle_gamma 120.00
_symmetry_space_group_name_H-M 'P -3 m 1'
_symmetry_Int_Tables_number 164
_symmetry_space_group_name_Hall '-P 3 2"'
loop_
_atom_site_label
_atom_site_type_symbol
_atom_site_fract_x
_atom_site_fract_y
_atom_site_fract_z
Ac1 Ac 0.3333 0.6667 0.2827
Bi1 Bi 0.1641 0.3282 0.7513
Rh1 Rh 0.0000 0.0000 0.0000
Rh2 Rh 0.0000 0.5000 0.0000
# Total magnetization, μB/f.u.: 0.00
# Density, g cm⁻³: 10.5

***

Most favorable first, least favorable last: run b, run a

***

Run a
# AcBi2Rh3 (GGA-PBE, relaxed)
data_AcBi2Rh3
_cell_length_a 16.522
_cell_length_b 4.734
_cell_length_c 8.385
_cell_angle_alpha 90.00
_cell_angle_beta 118.10
_cell_angle_gamma 90.00
_symmetry_space_group_name_H-M 'C 1 2/m 1'
_symmetry_Int_Tables_number 12
loop_
_symmetry_equiv_pos_as_xyz
'x,y,z'
'-x,-y,-z'
'-x,y,-z'
'x,-y,z'
'x+1/2,y+1/2,z'
'-x+1/2,-y+1/2,-z'
'-x+1/2,y+1/2,-z'
'x+1/2,-y+1/2,z'
loop_
_atom_site_label
_atom_site_type_symbol
_atom_site_fract_x
_atom_site_fract_y
_atom_site_fract_z
Ac1 Ac 0.147 0.000 0.180
Bi1 Bi 0.005 0.500 0.774
Bi2 Bi 0.190 0.000 0.632
Rh1 Rh 0.093 0.000 0.812
Rh2 Rh 0.107 0.500 0.595
Rh3 Rh 0.206 0.500 0.976
# Total magnetization, μB/f.u.: 0.00
# Density, g cm⁻³: 10.9

***

Run b
# AcBi2Rh3 (GGA-PBE, relaxed)
data_AcBi2Rh3
_cell_length_a 18.040
_cell_length_b 4.404
_cell_length_c 10.628
_cell_angle_alpha 90.00
_cell_angle_beta 105.69
_cell_angle_gamma 90.00
_symmetry_space_group_name_H-M 'C 1 2/m 1'
_symmetry_Int_Tables_number 12
loop_
_symmetry_equiv_pos_as_xyz
'x,y,z'
'-x,-y,-z'
'-x,y,-z'
'x,-y,z'
'x+1/2,y+1/2,z'
'-x+1/2,-y+1/2,-z'
'-x+1/2,y+1/2,-z'
'x+1/2,-y+1/2,z'
loop_
_atom_site_label
_atom_site_type_symbol
_atom_site_fract_x
_atom_site_fract_y
_atom_site_fract_z
Ac1 Ac 0.000 0.000 0.000
Ac2 Ac 0.167 0.000 0.711
Bi1 Bi 0.035 0.500 0.772
Bi2 Bi 0.141 0.500 0.455
Bi3 Bi 0.191 0.000 0.121
Rh1 Rh 0.000 0.500 0.500
Rh2 Rh 0.048 0.000 0.333
Rh3 Rh 0.120 0.500 0.197
Rh4 Rh 0.177 0.500 0.954
Rh5 Rh 0.216 0.000 0.389
# Total magnetization, μB/f.u.: 0.00
# Density, g cm⁻³: 11.7

***

Most favorable first, least favorable last: run b, run a

***

Run a
# Ac4Bi2Ru (GGA-PBE, relaxed)
data_Ac4Bi2Ru
_cell_length_a 7.193
_cell_length_b 7.370
_cell_length_c 10.347
_cell_angle_alpha 90.00
_cell_angle_beta 109.90
_cell_angle_gamma 90.00
_symmetry_space_group_name_H-M 'P 1 21/m 1'
_symmetry_Int_Tables_number 11
loop_
_symmetry_equiv_pos_as_xyz
'x,y,z'
'-x,-y,-z'
'-x,y+1/2,-z'
'x,-y+1/2,z'
loop_
_atom_site_label
_atom_site_type_symbol
_atom_site_fract_x
_atom_site_fract_y
_atom_site_fract_z
Ac1 Ac 0.027 0.000 0.265
Ac2 Ac 0.374 0.250 0.076
Ac3 Ac 0.419 0.250 0.620
Bi1 Bi 0.215 0.750 0.044
Bi2 Bi 0.245 0.750 0.570
Ru1 Ru 0.331 0.250 0.327
# Total magnetization, μB/f.u.: 0.00
# Density, g cm⁻³: 9.2

***

Run b
# Ac4Bi2Ru (GGA-PBE, relaxed)
data_Ac4Bi2Ru
_cell_length_a 5.461
_cell_length_b 5.461
_cell_length_c 18.092
_cell_angle_alpha 90.00
_cell_angle_beta 90.00
_cell_angle_gamma 90.00
_symmetry_space_group_name_H-M 'I 4/m m m'
_symmetry_Int_Tables_number 139
_symmetry_space_group_name_Hall '-I 4 2'
loop_
_atom_site_label
_atom_site_type_symbol
_atom_site_fract_x
_atom_site_fract_y
_atom_site_fract_z
Ac1 Ac 0.000 0.000 0.170
Ac2 Ac 0.000 0.500 0.000
Bi1 Bi 0.000 0.000 0.360
Ru1 Ru 0.000 0.000 0.000
# Total magnetization, μB/f.u.: 0.00
# Density, g cm⁻³: 8.8

***

Most favorable first, least favorable last: run b, run a